# 1
## PrNdSm5 (GGA-PBE)

Data for a relaxed PrNdSm5 crystal.

a b c (Å): 6.947 6.947 13.890
angles (deg): 61.53 61.53 60.02
Atoms (fractional coordinates):
Sm  0.162  0.838  0.750
Sm  0.694  0.652  0.000
Sm  0.652  0.694  0.500
Pr  0.278  0.722  0.250
Sm  0.600  0.838  0.750
Sm  0.838  0.162  0.250
Pr  0.722  0.278  0.750
Nd  0.000  0.000  0.000
Sm  0.348  0.306  0.500
Sm  0.162  0.400  0.750
Sm  0.838  0.600  0.250
Nd  0.000  0.000  0.500
Sm  0.306  0.348  0.000
Sm  0.400  0.162  0.250

relative energy among the computed polymorphs	0.0000	eV/atom
E	-4.5676	eV per atom
size of the total moment	0.000	μB per atom
ΔH_f (0 K)	0.17	eV per atom

# 2
## TmNpRu4 (GGA-PBE)

Data for a relaxed TmNpRu4 crystal.

a b c (Å): 5.301 5.301 5.301
angles (deg): 60.00 60.00 60.00
Atoms (fractional coordinates):
Ru  0.625  0.625  0.125
Ru  0.625  0.625  0.625
Np  0.250  0.250  0.250
Tm  0.000  0.000  0.000
Ru  0.125  0.625  0.625
Ru  0.625  0.125  0.625

E	-9.2409	eV per atom
size of the total moment	0.480	μB per atom
ΔH_f (0 K)	-0.16	eV per atom